(1)
Computed, not measured: a relaxed structure of Nd2In3Hg4 at the GGA-PBE level of DFT.

Computed properties:
The energy above the most stable polymorph in this dataset is 0.53 eV per formula unit. As for the crystal system: orthorhombic.

Geometry as POSCAR:
```
Nd2In3Hg4
1.0
3.2113 -8.3287 0.0000
3.2113 8.3287 0.0000
0.0000 0.0000 8.7688
Nd In Hg
4 6 8
Direct
0.1130 0.8870 0.9198
0.3870 0.6130 0.4198
0.6130 0.3870 0.5802
0.8870 0.1130 0.0802
0.0000 0.0000 0.5000
0.0300 0.4700 0.7500
0.4700 0.0300 0.2500
0.5000 0.5000 0.0000
0.5300 0.9700 0.7500
0.9700 0.5300 0.2500
0.1760 0.8240 0.5429
0.2037 0.2963 0.7500
0.2963 0.2037 0.2500
0.3240 0.6760 0.0429
0.6760 0.3240 0.9571
0.7037 0.7963 0.7500
0.7963 0.7037 0.2500
0.8240 0.1760 0.4571
```

---

(2)
Computed, not measured: a relaxed structure of Mn2ReOs at the GGA-PBE level of DFT.

Computed properties:
The calculation puts the uncorrected energy at -10.431 eV/atom. As for the crystal system: orthorhombic.

Geometry as POSCAR:
```
Mn2ReOs
1.0
2.6710 0.0000 0.0000
0.0000 3.6417 0.0000
0.0000 0.0000 5.3372
Mn Re Os
2 1 1
Direct
0.0000 0.0000 0.2464
0.0000 0.0000 0.7536
0.5000 0.5000 0.5000
0.5000 0.5000 0.0000
```

---

(3)
Computed, not measured: a relaxed structure of Pr2HoTmSe4 at the GGA-PBE level of DFT.

Computed properties:
The formation energy from raw total energies comes out at -14.23 eV/f.u. As for the crystal system: monoclinic.

Geometry as POSCAR:
```
Pr2HoTmSe4
1.0
7.0734 0.0000 0.0000
0.0000 4.0625 0.0000
-2.3389 0.0000 7.0487
Pr Ho Tm Se
2 1 1 4
Direct
0.0000 0.0000 0.0000
0.5000 0.5000 0.0000
0.0000 0.5000 0.5000
0.5000 0.0000 0.5000
0.2446 0.0000 0.7288
0.2596 0.5000 0.2724
0.7404 0.5000 0.7276
0.7554 0.0000 0.2712
```

---

(4)
Computed, not measured: a relaxed structure of Cs12RbHg4 at the GGA-PBE level of DFT.

Computed properties:
The calculation puts the uncorrected energy at -0.825 eV/atom. As for the crystal system: cubic.

Geometry as POSCAR:
```
Cs12RbHg4
1.0
-7.1668 7.1668 7.1668
7.1668 -7.1668 7.1668
7.1668 7.1668 -7.1668
Cs Rb Hg
12 1 4
Direct
0.1368 0.8206 0.3162
0.1794 0.3162 0.4956
0.1794 0.6838 0.8632
0.3162 0.1368 0.8206
0.3162 0.4956 0.1794
0.4956 0.1794 0.3162
0.5044 0.8206 0.6838
0.6838 0.5044 0.8206
0.6838 0.8632 0.1794
0.8206 0.3162 0.1368
0.8206 0.6838 0.5044
0.8632 0.1794 0.6838
0.0000 0.0000 0.0000
0.0000 0.0000 0.5000
0.0000 0.5000 0.0000
0.5000 0.0000 0.0000
0.5000 0.5000 0.5000
```

---

(5)
Computed, not measured: a relaxed structure of TiBeNb at the GGA-PBE level of DFT.

Computed properties:
The energy above the most stable polymorph in this dataset is 0.00 eV per formula unit. As for the crystal system: cubic.

Geometry as POSCAR:
```
TiBeNb
1.0
5.7183 0.0000 0.0000
0.0000 5.7183 0.0000
0.0000 0.0000 5.7183
Ti Be Nb
4 4 4
Direct
0.1518 0.3482 0.6518
0.3482 0.6518 0.1518
0.6518 0.1518 0.3482
0.8482 0.8482 0.8482
0.0072 0.5072 0.9928
0.4928 0.4928 0.4928
0.5072 0.9928 0.0072
0.9928 0.0072 0.5072
0.1533 0.1533 0.1533
0.3467 0.8467 0.6533
0.6533 0.3467 0.8467
0.8467 0.6533 0.3467
```

---

(6)
Computed, not measured: a relaxed structure of Pr4TmTe7 at the GGA-PBE level of DFT.

Computed properties:
The formation energy from raw total energies comes out at -17.09 eV/f.u. As for the crystal system: monoclinic.

Geometry as POSCAR:
```
Pr4TmTe7
1.0
7.3545 -2.1818 0.0000
7.3545 2.1818 0.0000
-3.4307 0.0000 13.0185
Pr Tm Te
4 1 7
Direct
0.0000 0.0000 0.0000
0.1872 0.1872 0.7651
0.5862 0.5862 0.3794
0.8859 0.8859 0.5684
0.7716 0.7716 0.1477
0.1549 0.1549 0.2216
0.2230 0.2230 0.5232
0.3801 0.3801 0.0763
0.5486 0.5486 0.6211
0.6318 0.6318 0.9293
0.8505 0.8505 0.7883
0.9205 0.9205 0.3477
```

---

(7)
Computed, not measured: a relaxed structure of Rb2BHF6 at the GGA-PBE level of DFT.

Computed properties:
The energy above the most stable polymorph in this dataset is 0.00 eV per formula unit. As for the crystal system: monoclinic.

Geometry as POSCAR:
```
Rb2BHF6
1.0
4.1542 -4.0996 0.0000
4.1542 4.0996 0.0000
-3.3167 0.0000 4.8416
Rb B H F
2 1 1 6
Direct
0.2371 0.7629 0.0000
0.7629 0.2371 0.0000
0.4729 0.4729 0.4775
0.8950 0.8950 0.4139
0.3467 0.3467 0.1810
0.3536 0.3536 0.5800
0.4453 0.7304 0.5637
0.7304 0.4453 0.5637
0.8088 0.8088 0.1656
0.9698 0.9698 0.6404
```

---

(8)
Computed, not measured: a relaxed structure of NdDy3Cd at the GGA-PBE level of DFT.

Computed properties:
The energy above the most stable polymorph in this dataset is 0.00 eV per formula unit. As for the crystal system: monoclinic.

Geometry as POSCAR:
```
NdDy3Cd
1.0
6.5137 -1.8489 0.0000
6.5137 1.8489 0.0000
-0.7338 0.0000 12.6259
Nd Dy Cd
2 6 2
Direct
0.2333 0.2333 0.2527
0.7667 0.7667 0.7473
0.0362 0.0362 0.6888
0.1460 0.1460 0.9485
0.3665 0.3665 0.5231
0.6335 0.6335 0.4769
0.8540 0.8540 0.0515
0.9638 0.9638 0.3112
0.4468 0.4468 0.8738
0.5532 0.5532 0.1262
```

---

(9)
Computed, not measured: a relaxed structure of Tl2CdRe at the GGA-PBE level of DFT.

Computed properties:
The energy above the most stable polymorph in this dataset is 0.14 eV per formula unit. As for the crystal system: orthorhombic.

Geometry as POSCAR:
```
Tl2CdRe
1.0
1.6512 -2.4597 0.0000
1.6512 2.4597 0.0000
0.0000 0.0000 11.4147
Tl Cd Re
2 1 1
Direct
0.0000 0.0000 0.0000
0.5000 0.5000 0.3118
0.0000 0.0000 0.5717
0.5000 0.5000 0.7765
```

---

(10)
Computed, not measured: a relaxed structure of AcTmZn at the GGA-PBE level of DFT.

Computed properties:
The energy above the most stable polymorph in this dataset is 0.00 eV per formula unit. As for the crystal system: tetragonal.

Geometry as POSCAR:
```
AcTmZn
1.0
-1.8764 1.8764 6.3267
1.8764 -1.8764 6.3267
1.8764 1.8764 -6.3267
Ac Tm Zn
1 1 1
Direct
0.0000 0.0000 0.0000
0.2859 0.2859 0.0000
0.6738 0.6738 0.0000
```

---

(11)
Computed, not measured: a relaxed structure of Ce2Pm2Ge3 at the GGA-PBE level of DFT.

Computed properties:
The calculation puts the uncorrected energy at -5.562 eV/atom. As for the crystal system: monoclinic.

Geometry as POSCAR:
```
Ce2Pm2Ge3
1.0
7.6109 -2.1801 0.0000
7.6109 2.1801 0.0000
-2.9749 0.0000 6.4652
Ce Pm Ge
2 2 3
Direct
0.1236 0.1236 0.4557
0.8764 0.8764 0.5443
0.3642 0.3642 0.9974
0.6358 0.6358 0.0026
0.0000 0.0000 0.0000
0.2672 0.2672 0.2806
0.7328 0.7328 0.7194
```

---

(12)
Computed, not measured: a relaxed structure of Ac2PuRu at the GGA-PBE level of DFT.

Computed properties:
The calculation puts the uncorrected energy at -7.607 eV/atom. As for the crystal system: trigonal.

Geometry as POSCAR:
```
Ac2PuRu
1.0
2.0268 1.1702 10.7974
-2.0268 1.1702 10.7974
0.0000 -2.3403 10.7974
Ac Pu Ru
2 1 1
Direct
0.1144 0.1144 0.1144
0.8856 0.8856 0.8856
0.0000 0.0000 0.0000
0.5000 0.5000 0.5000
```

---

(13)
Computed, not measured: a relaxed structure of TlV2Ru at the GGA-PBE level of DFT.

Computed properties:
The energy above the most stable polymorph in this dataset is 0.00 eV per formula unit. As for the crystal system: cubic.

Geometry as POSCAR:
```
TlV2Ru
1.0
0.0000 3.1805 3.1805
3.1805 0.0000 3.1805
3.1805 3.1805 0.0000
Tl V Ru
1 2 1
Direct
0.0000 0.0000 0.0000
0.2500 0.2500 0.2500
0.7500 0.7500 0.7500
0.5000 0.5000 0.5000
```

---

(14)
Computed, not measured: a relaxed structure of RbHgAu2C at the GGA-PBE level of DFT.

Computed properties:
The calculation puts the uncorrected energy at -2.819 eV/atom. As for the crystal system: tetragonal.

Geometry as POSCAR:
```
RbHgAu2C
1.0
4.4363 0.0000 0.0000
0.0000 4.4363 0.0000
0.0000 0.0000 5.7577
Rb Hg Au C
1 1 2 1
Direct
0.0000 0.0000 0.0000
0.5000 0.5000 0.0000
0.0000 0.5000 0.5000
0.5000 0.0000 0.5000
0.5000 0.5000 0.5000
```

---

(15)
Computed, not measured: a relaxed structure of NpSb2Ru at the GGA-PBE level of DFT.

Computed properties:
The formation energy from raw total energies comes out at 1.82 eV/f.u. As for the crystal system: trigonal.

Geometry as POSCAR:
```
NpSb2Ru
1.0
1.5659 0.9040 10.4826
-1.5659 0.9040 10.4826
0.0000 -1.8081 10.4826
Np Sb Ru
1 2 1
Direct
0.0000 0.0000 0.0000
0.4191 0.4191 0.4191
0.5809 0.5809 0.5809
0.5000 0.5000 0.5000
```

---

(16)
Computed, not measured: a relaxed structure of TbTm2Th5 at the GGA-PBE level of DFT.

Computed properties:
The energy above the most stable polymorph in this dataset is 0.03 eV per formula unit. As for the crystal system: orthorhombic.

Geometry as POSCAR:
```
TbTm2Th5
1.0
7.1135 0.0000 0.0000
0.0000 14.2581 0.0000
0.0000 0.0000 5.0247
Tb Tm Th
2 4 10
Direct
0.0000 0.0000 0.0000
0.5000 0.5000 0.0000
0.2484 0.3738 0.5000
0.2516 0.8738 0.5000
0.7484 0.1262 0.5000
0.7516 0.6262 0.5000
0.0003 0.2506 0.0000
0.0000 0.5000 0.0000
0.9997 0.7494 0.0000
0.2464 0.6269 0.5000
0.2536 0.1269 0.5000
0.5000 0.0000 0.0000
0.5003 0.2494 0.0000
0.4997 0.7506 0.0000
0.7464 0.8731 0.5000
0.7536 0.3731 0.5000
```

---

(17)
Computed, not measured: a relaxed structure of Y6Co2Pt at the GGA-PBE level of DFT.

Computed properties:
The calculation puts the uncorrected energy at -6.957 eV/atom. As for the crystal system: orthorhombic.

Geometry as POSCAR:
```
Y6Co2Pt
1.0
-4.6901 4.7110 4.8453
4.6901 -4.7110 4.8453
4.6901 4.7110 -4.8453
Y Co Pt
12 4 2
Direct
0.0136 0.8270 0.1866
0.2475 0.5592 0.3117
0.2475 0.9357 0.6883
0.2718 0.3218 0.5935
0.2718 0.6782 0.9500
0.3596 0.1730 0.1866
0.6404 0.8270 0.8134
0.7282 0.3218 0.0500
0.7282 0.6782 0.4065
0.7525 0.0643 0.3117
0.7525 0.4408 0.6883
0.9864 0.1730 0.8134
0.0000 0.1626 0.1626
0.0000 0.8374 0.8374
0.3867 0.3867 0.0000
0.6133 0.6133 0.0000
0.0000 0.5000 0.5000
0.5000 0.0000 0.5000
```

---

(18)
Computed, not measured: a relaxed structure of CoOs2 at the GGA-PBE level of DFT.

Computed properties:
The energy above the most stable polymorph in this dataset is 2.14 eV per formula unit. As for the crystal system: hexagonal.

Geometry as POSCAR:
```
CoOs2
1.0
5.1069 0.0000 0.0000
-2.5534 4.4227 0.0000
0.0000 0.0000 8.1177
Co Os
4 8
Direct
0.3333 0.6667 0.0988
0.3333 0.6667 0.4012
0.6667 0.3333 0.5988
0.6667 0.3333 0.9012
0.0000 0.0000 0.0000
0.0000 0.0000 0.5000
0.1750 0.3500 0.7500
0.1750 0.8250 0.7500
0.3500 0.1750 0.2500
0.6500 0.8250 0.7500
0.8250 0.1750 0.2500
0.8250 0.6500 0.2500
```

---

(19)
Computed, not measured: a relaxed structure of Er2Zn3Ge2 at the GGA-PBE level of DFT.

Computed properties:
The calculation puts the uncorrected energy at -3.503 eV/atom. As for the crystal system: orthorhombic.

Geometry as POSCAR:
```
Er2Zn3Ge2
1.0
1.8900 -9.5035 0.0000
1.8900 9.5035 0.0000
0.0000 0.0000 4.0403
Er Zn Ge
2 3 2
Direct
0.1638 0.8362 0.0000
0.8362 0.1638 0.0000
0.0000 0.0000 0.0000
0.4346 0.5654 0.5000
0.5654 0.4346 0.5000
0.2954 0.7046 0.5000
0.7046 0.2954 0.5000
```

---

(20)
Computed, not measured: a relaxed structure of Tm6MgAl6 at the GGA-PBE level of DFT.

Computed properties:
The calculation puts the uncorrected energy at -4.170 eV/atom. As for the crystal system: hexagonal.

Geometry as POSCAR:
```
Tm6MgAl6
1.0
5.9041 0.0000 0.0000
-2.9520 5.1131 0.0000
0.0000 0.0000 10.1837
Tm Mg Al
6 1 6
Direct
0.0000 0.0000 0.1786
0.0000 0.0000 0.8214
0.3333 0.6667 0.0000
0.3333 0.6667 0.5000
0.6667 0.3333 0.0000
0.6667 0.3333 0.5000
0.0000 0.0000 0.5000
0.0000 0.5000 0.2506
0.0000 0.5000 0.7494
0.5000 0.0000 0.2506
0.5000 0.0000 0.7494
0.5000 0.5000 0.2506
0.5000 0.5000 0.7494
```